No. 1
The following is a DFT calculation (PBEsol) of a geometry-optimized TiVH4 structure. Values from VASP.

Quantum ESPRESSO input file:
```
&SYSTEM
  ibrav = 0, nat = 6, ntyp = 3
/
ATOMIC_SPECIES
H 1.01 H.upf
V 50.94 V.upf
Ti 47.87 Ti.upf
CELL_PARAMETERS angstrom
-1.540 -0.784 -2.460
0.875 -2.370 -1.629
-3.086 -3.984 1.365
ATOMIC_POSITIONS angstrom
H -1.984 -2.856 0.315
H -0.835 -2.504 -2.353
H -1.767 -4.283 -3.040
H -2.916 -4.634 -0.372
V -1.875 -3.569 -1.362
Ti 0.000 0.000 0.000
```

***

No. 2
! BePb3Cl | the Alexandria database | PBEsol | optimized geometry; values from VASP
&SYSTEM
  ibrav = 0, nat = 5, ntyp = 3
/
ATOMIC_SPECIES
Be 9.01 Be.upf
Cl 35.45 Cl.upf
Pb 207.20 Pb.upf
CELL_PARAMETERS angstrom
-0.236 -5.383 0.492
1.615 -0.540 -5.136
5.159 -0.077 1.630
ATOMIC_POSITIONS angstrom
Be 3.269 -3.000 -1.507
Cl 0.000 0.000 0.000
Pb -0.118 -2.692 0.246
Pb 2.580 -0.038 0.815
Pb 0.808 -0.270 -2.568
! Formation energy without anion corrections = 0.82 eV per atom

***

No. 3
! MgZnMo | the Alexandria database | PBEsol | optimized geometry; values from VASP
&SYSTEM
  ibrav = 0, nat = 3, ntyp = 3
/
ATOMIC_SPECIES
Mo 95.94 Mo.upf
Zn 65.41 Zn.upf
Mg 24.30 Mg.upf
CELL_PARAMETERS angstrom
2.618 0.000 0.000
0.000 4.547 0.000
0.000 -2.274 3.938
ATOMIC_POSITIONS angstrom
Mo 1.691 0.000 2.625
Zn 0.705 2.274 1.313
Mg 0.222 0.000 0.000
! Offset from the most stable computed form = 0.00 eV/f.u.

***

No. 4
The following is a DFT calculation (PBEsol) of a geometry-optimized Zr2BeOs structure. Values from VASP.

Quantum ESPRESSO input file:
```
&SYSTEM
  ibrav = 0, nat = 4, ntyp = 3
/
ATOMIC_SPECIES
Zr 91.22 Zr.upf
Be 9.01 Be.upf
Os 190.23 Os.upf
CELL_PARAMETERS angstrom
-1.975 2.448 -0.378
-1.974 -1.263 2.132
3.092 3.232 4.777
ATOMIC_POSITIONS angstrom
Zr 2.985 3.120 4.612
Zr -1.078 1.529 2.261
Be 1.710 1.788 2.643
Os 0.165 2.829 4.182
```

***

No. 5
The following is a DFT calculation (PBEsol) of a geometry-optimized Y2IrAu structure. Values from VASP.

Quantum ESPRESSO input file:
```
&SYSTEM
  ibrav = 0, nat = 4, ntyp = 3
/
ATOMIC_SPECIES
Y 88.91 Y.upf
Ir 192.22 Ir.upf
Au 196.97 Au.upf
CELL_PARAMETERS angstrom
-2.762 2.046 0.279
-1.019 -1.756 2.787
3.646 4.365 4.084
ATOMIC_POSITIONS angstrom
Y 0.961 1.151 1.077
Y 2.685 3.215 3.007
Ir -0.067 2.328 3.575
Au -1.891 0.145 1.533
```

***

No. 6
The following is a DFT calculation (PBEsol) of a geometry-optimized HgH2PbI structure. Values from VASP.

Quantum ESPRESSO input file:
```
&SYSTEM
  ibrav = 0, nat = 5, ntyp = 4
/
ATOMIC_SPECIES
I 126.90 I.upf
H 1.01 H.upf
Pb 207.20 Pb.upf
Hg 200.59 Hg.upf
CELL_PARAMETERS angstrom
-3.280 1.895 1.856
-1.145 -3.674 1.727
3.341 1.172 4.708
ATOMIC_POSITIONS angstrom
I -0.542 -0.304 4.146
H -0.573 -1.837 0.863
H -1.640 0.947 0.928
Pb 0.000 0.000 0.000
Hg 1.671 0.586 2.354
```

***

| no. | M_tot (Bohr magnetons per cell) | DFT total energy (eV/atom) |
| --- | --- | --- |
| 1 | 0.0 | -5.603 |
| 2 | 0.0 | -2.777 |
| 3 | 0.0 | -4.630 |
| 4 | 0.0 | -8.764 |
| 5 | 0.0 | -7.681 |
| 6 | 0.0 | -2.308 |